The following is a PBE calculation of FeSi2Ru after structural relaxation, from Alexandria.

Computed properties:
E_form (uncorrected)	-0.189	eV per atom
V	12.8	Å³ per atom
N(E_F)	2.8	states/eV/f.u.
total moment	1.4	μB per cell

a b c (Å): 2.743 3.708 5.034
angles (deg): 90.00 90.42 90.00
Space group P2/m (No. 10)
Asymmetric unit:
Fe: 0.000 0.000 0.000 [1 per cell]
Si: 0.013 0.500 0.743 [2 per cell]
Ru: 0.500 0.000 0.500 [1 per cell]